Density functional theory data (PBE) for crystalline EuEr2Pd at its relaxed geometry.

Results
**Space-group type**: P4/mmm
**Offset from the most stable computed form**: 0.000 eV per atom
**Volume**: 28.132 Å³ per atom
**ΔH_f (0 K)**: -0.394 eV per atom

abc: 3.5468 3.5468 8.9451
angles: 90.00 90.00 90.00
Fractional coordinates of all 4 atoms:
1 Eu 0.0000 0.0000 0.0000
2 Er 0.5000 0.5000 0.3164
3 Er 0.5000 0.5000 0.6836
4 Pd 0.0000 0.0000 0.5000



Density functional theory data (PBE) for crystalline EuErPd at its relaxed geometry.

Results
**Space-group type**: I4mm
**Offset from the most stable computed form**: 0.000 eV per atom
**Volume**: 27.313 Å³ per atom
**ΔH_f (0 K)**: -0.520 eV per atom

abc: 3.5917 3.5917 12.7036
angles: 90.00 90.00 90.00
Fractional coordinates of all 6 atoms:
1 Eu 0.0000 0.0000 0.0000
2 Eu 0.5000 0.5000 0.5000
3 Er 0.0000 0.0000 0.2695
4 Er 0.5000 0.5000 0.7695
5 Pd 0.0000 0.0000 0.6599
6 Pd 0.5000 0.5000 0.1599



Density functional theory data (PBE) for crystalline EuEr3Pd at its relaxed geometry.

Results
**Space-group type**: Pm-3m
**Volume**: 32.905 Å³ per atom
**ΔH_f (0 K)**: -0.212 eV per atom

abc: 5.4795 5.4795 5.4795
angles: 90.00 90.00 90.00
Fractional coordinates of all 5 atoms:
1 Eu 0.0000 0.0000 0.0000
2 Er 0.0000 0.5000 0.5000
3 Er 0.5000 0.0000 0.5000
4 Er 0.5000 0.5000 0.0000
5 Pd 0.5000 0.5000 0.5000



Density functional theory data (PBE) for crystalline EuErPd4 at its relaxed geometry.

Results
**Space-group type**: F-43m
**Volume**: 19.328 Å³ per atom
**ΔH_f (0 K)**: -0.738 eV per atom

abc: 5.4738 5.4738 5.4738
angles: 60.00 60.00 60.00
Fractional coordinates of all 6 atoms:
1 Eu 0.0000 0.0000 0.0000
2 Er 0.7500 0.7500 0.7500
3 Pd 0.3753 0.3753 0.3753
4 Pd 0.3753 0.3753 0.8742
5 Pd 0.3753 0.8742 0.3753
6 Pd 0.8742 0.3753 0.3753



Density functional theory data (PBE) for crystalline Eu2ErPd at its relaxed geometry.

Results
**Space-group type**: R-3m
**Offset from the most stable computed form**: 0.227 eV per atom
**Volume**: 32.196 Å³ per atom
**ΔH_f (0 K)**: -0.026 eV per atom

abc: 3.7101 3.7101 32.4105
angles: 90.00 90.00 120.00
Fractional coordinates of all 12 atoms:
1 Eu 0.0000 0.0000 0.1052
2 Eu 0.0000 0.0000 0.8948
3 Eu 0.3333 0.6667 0.5615
4 Eu 0.3333 0.6667 0.7718
5 Eu 0.6667 0.3333 0.2282
6 Eu 0.6667 0.3333 0.4385
7 Er 0.0000 0.0000 0.0000
8 Er 0.3333 0.6667 0.6667
9 Er 0.6667 0.3333 0.3333
10 Pd 0.0000 0.0000 0.5000
11 Pd 0.3333 0.6667 0.1667
12 Pd 0.6667 0.3333 0.8333



Density functional theory data (PBE) for crystalline EuErPd at its relaxed geometry.

Results
**Space-group type**: F-43m
**Offset from the most stable computed form**: 0.099 eV per atom
**Volume**: 28.850 Å³ per atom
**ΔH_f (0 K)**: -0.421 eV per atom

abc: 7.0217 7.0217 7.0217
angles: 90.00 90.00 90.00
Fractional coordinates of all 12 atoms:
1 Eu 0.0000 0.0000 0.0000
2 Eu 0.0000 0.5000 0.5000
3 Eu 0.5000 0.0000 0.5000
4 Eu 0.5000 0.5000 0.0000
5 Er 0.0000 0.0000 0.5000
6 Er 0.0000 0.5000 0.0000
7 Er 0.5000 0.0000 0.0000
8 Er 0.5000 0.5000 0.5000
9 Pd 0.2500 0.2500 0.2500
10 Pd 0.2500 0.7500 0.7500
11 Pd 0.7500 0.2500 0.7500
12 Pd 0.7500 0.7500 0.2500



Density functional theory data (PBE) for crystalline Eu2ErPd at its relaxed geometry.

Results
**Space-group type**: P4/mmm
**Offset from the most stable computed form**: 0.000 eV per atom
**Volume**: 29.871 Å³ per atom
**ΔH_f (0 K)**: -0.252 eV per atom

abc: 3.6674 3.6674 8.8838
angles: 90.00 90.00 90.00
Fractional coordinates of all 4 atoms:
1 Eu 0.0000 0.0000 0.1965
2 Eu 0.0000 0.0000 0.8035
3 Er 0.5000 0.5000 0.5000
4 Pd 0.5000 0.5000 0.0000



Density functional theory data (PBE) for crystalline EuErSiPd at its relaxed geometry.

Results
**Space-group type**: F-43m
**Volume**: 22.515 Å³ per atom
**Total energy**: -111.4 eV per cell

abc: 7.1153 7.1153 7.1153
angles: 90.00 90.00 90.00
Fractional coordinates of all 16 atoms:
1 Eu 0.0000 0.0000 0.0000
2 Eu 0.0000 0.5000 0.5000
3 Eu 0.5000 0.0000 0.5000
4 Eu 0.5000 0.5000 0.0000
5 Er 0.0000 0.0000 0.5000
6 Er 0.0000 0.5000 0.0000
7 Er 0.5000 0.0000 0.0000
8 Er 0.5000 0.5000 0.5000
9 Si 0.2500 0.2500 0.7500
10 Si 0.2500 0.7500 0.2500
11 Si 0.7500 0.2500 0.2500
12 Si 0.7500 0.7500 0.7500
13 Pd 0.2500 0.2500 0.2500
14 Pd 0.2500 0.7500 0.7500
15 Pd 0.7500 0.2500 0.7500
16 Pd 0.7500 0.7500 0.2500



no.,size of the total moment (μB/atom)
1,1.98
2,2.48
3,1.54
4,1.15
5,3.70
6,2.40
7,3.79
8,1.71